Cs2AgPbBr6 | PBE | relaxed

Results
- Total DFT energy (no corrections): -2.93 eV per atom

Unit cell a=13.9089 b=8.0340 c=8.0311 alpha=90.00 beta=125.24 gamma=90.00
Space group C2/m (No. 12)
Unique sites:
Cs: 0.2498 0.0000 0.2500 x4
Ag: 0.0000 0.0000 0.5000 x2
Pb: 0.0000 0.5000 0.0000 x2
Br: 0.0006 0.2444 0.7447 x8
Br: 0.2443 0.0000 0.7434 x4